Material: TbNdAsO
Method: DFT, PBE
State: optimized geometry

a b c (Å): 4.316 7.656 6.112
angles (deg): 90.00 90.00 90.00
Space group Pmc2_1 (No. 26)
One atom of each set of equivalent atoms:
Tb (0.000, 0.109, 0.000)
Nd (0.500, 0.296, 0.421)
As (0.500, 0.326, 0.914)
O (0.000, 0.164, 0.358)

Output
As for the polymorph energy (0 for the lowest one): 0.000 eV/atom.

---

Material: U3Al19Ni5
Method: DFT, PBE
State: optimized geometry

a b c (Å): 4.066 15.943 27.011
angles (deg): 90.00 90.00 90.00
Space group Cmcm (No. 63)
One atom of each set of equivalent atoms:
U (0.000, 0.116, 0.250)
U (0.000, 0.333, 0.136)
Al (0.000, 0.037, 0.602)
Al (0.000, 0.078, 0.701)
Al (0.000, 0.093, 0.037)
Al (0.000, 0.131, 0.136)
Al (0.000, 0.265, 0.029)
Al (0.000, 0.276, 0.694)
Al (0.000, 0.292, 0.589)
Al (0.000, 0.306, 0.250)
Al (0.000, 0.432, 0.031)
Al (0.000, 0.464, 0.674)
Ni (0.000, 0.159, 0.542)
Ni (0.000, 0.447, 0.584)
Ni (0.000, 0.456, 0.250)

Output
Its total energy is -5.28 eV/atom.

---

Material: CoAs
Method: DFT, PBE
State: optimized geometry

a b c (Å): 4.725 3.629 6.963
angles (deg): 90.00 90.00 90.00
Space group Pmma (No. 51)
One atom of each set of equivalent atoms:
Co (0.000, 0.000, 0.000)
Co (0.250, 0.500, 0.201)
As (0.250, 0.000, 0.407)
As (0.250, 0.500, 0.845)

Output
Its total energy is -6.02 eV/atom.

---

Material: DyScAsO
Method: DFT, PBE
State: optimized geometry

a b c (Å): 4.079 6.480 6.066
angles (deg): 90.00 90.00 90.00
Space group Pmc2_1 (No. 26)
One atom of each set of equivalent atoms:
Dy (0.000, 0.155, 0.000)
Sc (0.500, 0.499, 0.749)
As (0.000, 0.292, 0.499)
O (0.500, 0.277, 0.000)

Output
As for the polymorph energy (0 for the lowest one): 0.000 eV/atom.

---

Material: Y4ZnSnN2
Method: DFT, PBE
State: optimized geometry

a b c (Å): 3.5293 3.5293 15.0703
angles (deg): 90.00 90.00 120.00
Space group P-6m2 (No. 187)
One atom of each set of equivalent atoms:
Y (0.0000, 0.0000, 0.1534)
Y (0.3333, 0.6667, 0.3316)
Zn (0.3333, 0.6667, 0.0000)
Sn (0.0000, 0.0000, 0.5000)
N (0.6667, 0.3333, 0.2478)

Output
Its total energy is -7.00 eV/atom.

---

Material: DyEr6Pd2S2
Method: DFT, PBE
State: optimized geometry

a b c (Å): 3.817 14.955 9.183
angles (deg): 90.00 90.00 90.00
Space group Imm2 (No. 44)
One atom of each set of equivalent atoms:
Dy (0.000, 0.000, 0.000)
Er (0.000, 0.116, 0.404)
Er (0.000, 0.320, 0.615)
Er (0.000, 0.368, 0.242)
Pd (0.000, 0.240, 0.914)
S (0.000, 0.000, 0.653)
S (0.000, 0.500, 0.751)

Output
Its total energy is -5.61 eV/atom.

---

Material: BeCdGa2
Method: DFT, PBE
State: optimized geometry

a b c (Å): 6.538 6.538 6.538
angles (deg): 90.00 90.00 90.00
Space group F-43m (No. 216)
One atom of each set of equivalent atoms:
Be (0.000, 0.000, 0.000)
Cd (0.250, 0.250, 0.250)
Ga (0.000, 0.000, 0.500)
Ga (0.250, 0.250, 0.750)

Output
Its total energy is -2.29 eV/atom.

---

Material: TmAg
Method: DFT, PBE
State: optimized geometry

a b c (Å): 3.3975 3.3975 4.6927
angles (deg): 90.00 90.00 120.00
Space group P-6m2 (No. 187)
One atom of each set of equivalent atoms:
Tm (0.0000, 0.0000, 0.0000)
Ag (0.3333, 0.6667, 0.5000)

Output
For the formation energy, the calculation gives -0.2 eV/f.u.